# 1
## Pr2MgIn (PBEsol)

Data for Pr2MgIn after structural relaxation. Values from VASP.

Structure (Quantum ESPRESSO input):
```
&SYSTEM
  ibrav = 0, nat = 4, ntyp = 3
/
ATOMIC_SPECIES
Pr 140.91 Pr.upf
Mg 24.30 Mg.upf
In 114.82 In.upf
CELL_PARAMETERS angstrom
0.000 3.841 3.841
3.841 0.000 3.841
3.841 3.841 0.000
ATOMIC_POSITIONS crystal
Pr 0.250 0.250 0.250
Pr 0.750 0.750 0.750
Mg 0.000 0.000 0.000
In 0.500 0.500 0.500
```

=====

# 2
## PrMgIn (PBEsol)

Data for PrMgIn after structural relaxation. Values from VASP.

Structure (Quantum ESPRESSO input):
```
&SYSTEM
  ibrav = 0, nat = 9, ntyp = 3
/
ATOMIC_SPECIES
Pr 140.91 Pr.upf
Mg 24.30 Mg.upf
In 114.82 In.upf
CELL_PARAMETERS angstrom
7.657 0.000 0.000
-3.829 6.632 0.000
0.000 0.000 4.733
ATOMIC_POSITIONS crystal
Pr 0.000 0.430 0.000
Pr 0.430 0.000 0.000
Pr 0.570 0.570 0.000
Mg 0.000 0.758 0.500
Mg 0.242 0.242 0.500
Mg 0.758 0.000 0.500
In 0.000 0.000 0.000
In 0.333 0.667 0.500
In 0.667 0.333 0.500
```

=====

# 3
## MgInPt2 (PBEsol)

Data for MgInPt2 after structural relaxation. Values from VASP.

Structure (Quantum ESPRESSO input):
```
&SYSTEM
  ibrav = 0, nat = 4, ntyp = 3
/
ATOMIC_SPECIES
Mg 24.30 Mg.upf
In 114.82 In.upf
Pt 195.08 Pt.upf
CELL_PARAMETERS angstrom
2.957 0.000 0.000
0.000 3.753 0.000
0.000 0.000 5.878
ATOMIC_POSITIONS crystal
Mg 0.000 0.000 0.000
In 0.000 0.000 0.500
Pt 0.500 0.500 0.244
Pt 0.500 0.500 0.756
```

=====

# 4
## MgInPt2 (PBEsol)

Data for MgInPt2 after structural relaxation. Values from VASP.

Structure (Quantum ESPRESSO input):
```
&SYSTEM
  ibrav = 0, nat = 4, ntyp = 3
/
ATOMIC_SPECIES
Mg 24.30 Mg.upf
In 114.82 In.upf
Pt 195.08 Pt.upf
CELL_PARAMETERS angstrom
2.970 0.000 0.000
0.000 2.970 0.000
0.000 0.000 7.414
ATOMIC_POSITIONS crystal
Mg 0.000 0.000 0.000
In 0.000 0.000 0.500
Pt 0.500 0.500 0.243
Pt 0.500 0.500 0.757
```

=====

# 5
## MgInPt2 (PBEsol)

Data for MgInPt2 after structural relaxation. Values from VASP.

Structure (Quantum ESPRESSO input):
```
&SYSTEM
  ibrav = 0, nat = 4, ntyp = 3
/
ATOMIC_SPECIES
Mg 24.30 Mg.upf
In 114.82 In.upf
Pt 195.08 Pt.upf
CELL_PARAMETERS angstrom
-1.950 1.950 4.327
1.950 -1.950 4.327
1.950 1.950 -4.327
ATOMIC_POSITIONS crystal
Mg 0.000 0.000 0.000
In 0.250 0.750 0.500
Pt 0.500 0.500 0.000
Pt 0.750 0.250 0.500
```

=====

# 6
## MgInPt2 (PBEsol)

Data for MgInPt2 after structural relaxation. Values from VASP.

Structure (Quantum ESPRESSO input):
```
&SYSTEM
  ibrav = 0, nat = 4, ntyp = 3
/
ATOMIC_SPECIES
Mg 24.30 Mg.upf
In 114.82 In.upf
Pt 195.08 Pt.upf
CELL_PARAMETERS angstrom
4.152 0.000 0.000
0.000 4.152 0.000
0.000 0.000 3.778
ATOMIC_POSITIONS crystal
Mg 0.000 0.000 0.000
In 0.500 0.500 0.000
Pt 0.000 0.500 0.500
Pt 0.500 0.000 0.500
```

=====

| no. | total magnetic moment (μB per formula unit) | formation energy from the elements (eV per atom) | DFT total energy (eV per atom) |
| --- | --- | --- | --- |
| 1 | 0.00 | -0.350 | -4.1172 |
| 2 | 0.00 | -0.447 | -3.7418 |
| 3 | 0.00 | -0.639 | -5.2957 |
| 4 | 0.00 | -0.608 | -5.2646 |
| 5 | 0.00 | -0.591 | -5.2477 |
| 6 | 0.00 | -0.671 | -5.3275 |